Pt2RhAu: relaxed, PBE.

Geometry as CIF:
```
data_Pt2RhAu
_cell_length_a 4.867
_cell_length_b 4.867
_cell_length_c 4.867
_cell_angle_alpha 131.49
_cell_angle_beta 131.49
_cell_angle_gamma 71.03
_symmetry_space_group_name_H-M 'P 1'
_symmetry_Int_Tables_number 1
loop_
_symmetry_equiv_pos_as_xyz
'x,y,z'
loop_
_atom_site_label
_atom_site_type_symbol
_atom_site_fract_x
_atom_site_fract_y
_atom_site_fract_z
_atom_site_occupancy
Pt1 Pt 0.000 0.000 0.000 1
Pt2 Pt 0.250 0.750 0.500 1
Rh1 Rh 0.500 0.500 0.000 1
Au1 Au 0.750 0.250 0.500 1
```

DFT total energy: -22.37 eV for the cell shown
Theoretical density: 18.093 Mg/m³


Pt2RhAu: relaxed, PBE.

Geometry as CIF:
```
data_Pt2RhAu
_cell_length_a 4.901
_cell_length_b 4.901
_cell_length_c 2.811
_cell_angle_alpha 90.01
_cell_angle_beta 90.01
_cell_angle_gamma 110.12
_symmetry_space_group_name_H-M 'P 1'
_symmetry_Int_Tables_number 1
loop_
_symmetry_equiv_pos_as_xyz
'x,y,z'
loop_
_atom_site_label
_atom_site_type_symbol
_atom_site_fract_x
_atom_site_fract_y
_atom_site_fract_z
_atom_site_occupancy
Pt1 Pt 0.500 0.000 0.000 1
Pt2 Pt 0.000 0.500 0.000 1
Au1 Au 0.500 0.500 0.500 1
Rh1 Rh 0.000 0.000 0.500 1
```

DFT total energy: -22.38 eV for the cell shown
Theoretical density: 18.077 Mg/m³


Pt2RhAu: relaxed, PBE.

Geometry as CIF:
```
data_Pt2RhAu
_cell_length_a 2.805
_cell_length_b 2.805
_cell_length_c 9.484
_cell_angle_alpha 81.50
_cell_angle_beta 81.50
_cell_angle_gamma 60.00
_symmetry_space_group_name_H-M 'P 1'
_symmetry_Int_Tables_number 1
loop_
_symmetry_equiv_pos_as_xyz
'x,y,z'
loop_
_atom_site_label
_atom_site_type_symbol
_atom_site_fract_x
_atom_site_fract_y
_atom_site_fract_z
_atom_site_occupancy
Pt1 Pt 0.087 0.087 0.739 1
Pt2 Pt 0.246 0.246 0.261 1
Rh1 Rh 0.500 0.500 0.501 1
Au1 Au 0.667 0.667 0.999 1
```

DFT total energy: -22.47 eV for the cell shown
Theoretical density: 18.001 Mg/m³


What is the DFT total energy in the first record?
-22.37 eV for the cell shown


theoretical density of number 2 (Pt2RhAu)?
18.077 Mg/m³


Repeat the third record exactly.
Pt2RhAu: relaxed, PBE.

Geometry as CIF:
```
data_Pt2RhAu
_cell_length_a 2.805
_cell_length_b 2.805
_cell_length_c 9.484
_cell_angle_alpha 81.50
_cell_angle_beta 81.50
_cell_angle_gamma 60.00
_symmetry_space_group_name_H-M 'P 1'
_symmetry_Int_Tables_number 1
loop_
_symmetry_equiv_pos_as_xyz
'x,y,z'
loop_
_atom_site_label
_atom_site_type_symbol
_atom_site_fract_x
_atom_site_fract_y
_atom_site_fract_z
_atom_site_occupancy
Pt1 Pt 0.087 0.087 0.739 1
Pt2 Pt 0.246 0.246 0.261 1
Rh1 Rh 0.500 0.500 0.501 1
Au1 Au 0.667 0.667 0.999 1
```

DFT total energy: -22.47 eV for the cell shown
Theoretical density: 18.001 Mg/m³